Entry 1:
Material: Tb3Mg4Sc
Method: DFT, GGA-PBE
State: relaxed

Values from the calculation:
Fermi-level density of states (states/eV/cell): 10.8
DFT total energy (eV/atom): -3.393
Crystal system: tetragonal
E_form (meV per atom): -68

a b c (Å): 3.7315 3.7315 15.1601
angles (deg): 90.00 90.00 90.00
With the nearest neighbours (Å) after each atom.
Space group P4/mmm (No. 123)
One atom of each set of equivalent atoms:
1 Tb 0.0000 0.0000 0.0000 x1  8 Mg 3.28
2 Tb 0.0000 0.0000 0.2574 x2  8 Mg 3.28-3.30
3 Mg 0.5000 0.5000 0.1286 x2  8 Tb 3.28
4 Mg 0.5000 0.5000 0.3878 x2  4 Sc 3.14, 4 Tb 3.30, 1 Mg 3.40
5 Sc 0.0000 0.0000 0.5000 x1  8 Mg 3.14

=====

Entry 2:
Material: CuTc
Method: DFT, GGA-PBE
State: relaxed

Values from the calculation:
Fermi-level density of states (states/eV/cell): 2.7
DFT total energy (eV/atom): -7.044
Polymorph energy (0 for the lowest one) (meV/atom): 94
Crystal system: orthorhombic
E_form (meV per atom): 187

a b c (Å): 4.4182 2.5390 4.7667
angles (deg): 90.00 90.00 90.00
With the nearest neighbours (Å) after each atom.
Space group Pmma (No. 51)
One atom of each set of equivalent atoms:
1 Cu 0.2500 0.0000 0.1377 x2  4 Cu 2.54-2.57, 8 Tc 2.69-2.76
2 Tc 0.2500 0.5000 0.6402 x2  4 Tc 2.54-2.58, 8 Cu 2.69-2.76